(1)
# SrMg16Al12 | Alexandria via LeMat-Bulk | meta-GGA SCAN | PBEsol geometry
# - VASP energy: -6.76 eV per atom
# - Magnetic moment: 0.000 μB per cell
data_SrMg16Al12
_chemical_formula_sum 'Sr2 Mg32 Al24'
_cell_length_a 10.539
_cell_length_b 10.539
_cell_length_c 10.539
_cell_angle_alpha 90.00
_cell_angle_beta 90.00
_cell_angle_gamma 90.00
_symmetry_space_group_name_H-M 'I -4 3 m'
_symmetry_Int_Tables_number 217
_symmetry_space_group_name_Hall 'I -4 2 3'
loop_
_atom_site_label
_atom_site_type_symbol
_atom_site_fract_x
_atom_site_fract_y
_atom_site_fract_z
Sr1 Sr 0.000 0.000 0.000
Mg1 Mg 0.040 0.359 0.359
Mg2 Mg 0.181 0.181 0.819
Al1 Al 0.092 0.092 0.280

=====

(2)
# TaFe2Ni | Alexandria via LeMat-Bulk | meta-GGA SCAN | PBEsol geometry
# - VASP energy: -29.88 eV per atom
# - Magnetic moment: 2.888 μB per cell
data_TaFe2Ni
_chemical_formula_sum 'Ta1 Fe2 Ni1'
_cell_length_a 3.631
_cell_length_b 3.631
_cell_length_c 3.637
_cell_angle_alpha 90.00
_cell_angle_beta 90.00
_cell_angle_gamma 90.00
_symmetry_space_group_name_H-M 'P 4/m m m'
_symmetry_Int_Tables_number 123
_symmetry_space_group_name_Hall '-P 4 2'
loop_
_atom_site_label
_atom_site_type_symbol
_atom_site_fract_x
_atom_site_fract_y
_atom_site_fract_z
Ta1 Ta 0.000 0.000 0.000
Fe1 Fe 0.000 0.500 0.500
Ni1 Ni 0.500 0.500 0.000

=====

(3)
# Na3VSiBO7 | Alexandria via LeMat-Bulk | meta-GGA SCAN | PBEsol geometry
# - VASP energy: -9.56 eV per atom
# - E_form (uncorrected): -3189 kJ/mol of formula units
# - Magnetic moment: 2.000 μB per cell
data_Na3VSiBO7
_chemical_formula_sum 'Na6 V2 Si2 B2 O14'
_cell_length_a 5.288
_cell_length_b 6.513
_cell_length_c 8.820
_cell_angle_alpha 90.00
_cell_angle_beta 91.80
_cell_angle_gamma 90.00
_symmetry_space_group_name_H-M 'P 1 21/m 1'
_symmetry_Int_Tables_number 11
loop_
_symmetry_equiv_pos_as_xyz
'x,y,z'
'-x,-y,-z'
'-x,y+1/2,-z'
'x,-y+1/2,z'
loop_
_atom_site_label
_atom_site_type_symbol
_atom_site_fract_x
_atom_site_fract_y
_atom_site_fract_z
Na1 Na 0.238 0.250 0.081
Na2 Na 0.251 0.502 0.744
V1 V 0.218 0.750 0.334
Si1 Si 0.275 0.250 0.428
B1 B 0.273 0.750 0.063
O1 O 0.036 0.750 0.131
O2 O 0.096 0.250 0.576
O3 O 0.218 0.050 0.321
O4 O 0.313 0.750 0.914
O5 O 0.429 0.750 0.509
O6 O 0.467 0.750 0.177

=====

(4)
# Fe2PRu | Alexandria via LeMat-Bulk | meta-GGA SCAN | PBEsol geometry
# - VASP energy: -20.34 eV per atom
# - Magnetic moment: 0.006 μB per cell
data_Fe2PRu
_chemical_formula_sum 'Fe4 P2 Ru2'
_cell_length_a 2.695
_cell_length_b 4.028
_cell_length_c 8.031
_cell_angle_alpha 90.00
_cell_angle_beta 90.00
_cell_angle_gamma 90.00
_symmetry_space_group_name_H-M 'I m m m'
_symmetry_Int_Tables_number 71
_symmetry_space_group_name_Hall '-I 2 2'
loop_
_atom_site_label
_atom_site_type_symbol
_atom_site_fract_x
_atom_site_fract_y
_atom_site_fract_z
Fe1 Fe 0.000 0.000 0.219
P1 P 0.000 0.500 0.500
Ru1 Ru 0.000 0.500 0.000

=====

(5)
# SrTi2S | Alexandria via LeMat-Bulk | meta-GGA SCAN | PBEsol geometry
# - VASP energy: -16.17 eV per atom
# - E_form (uncorrected): -70 kJ/mol of formula units
# - Magnetic moment: 0.003 μB per cell
data_SrTi2S
_chemical_formula_sum 'Sr4 Ti8 S4'
_cell_length_a 7.802
_cell_length_b 7.802
_cell_length_c 5.649
_cell_angle_alpha 90.00
_cell_angle_beta 90.00
_cell_angle_gamma 90.00
_symmetry_space_group_name_H-M 'I -4 2 d'
_symmetry_Int_Tables_number 122
_symmetry_space_group_name_Hall 'I -4 2bw'
loop_
_atom_site_label
_atom_site_type_symbol
_atom_site_fract_x
_atom_site_fract_y
_atom_site_fract_z
Sr1 Sr 0.000 0.000 0.000
Ti1 Ti 0.152 0.750 0.625
S1 S 0.000 0.000 0.500

=====

(6)
# YHg3Pt | Alexandria via LeMat-Bulk | meta-GGA SCAN | PBEsol geometry
# - VASP energy: -60.51 eV per atom
# - Magnetic moment: 0.001 μB per cell
data_YHg3Pt
_chemical_formula_sum 'Y1 Hg3 Pt1'
_cell_length_a 5.088
_cell_length_b 5.088
_cell_length_c 5.088
_cell_angle_alpha 90.00
_cell_angle_beta 90.00
_cell_angle_gamma 90.00
_symmetry_space_group_name_H-M 'P m -3 m'
_symmetry_Int_Tables_number 221
_symmetry_space_group_name_Hall '-P 4 2 3'
loop_
_atom_site_label
_atom_site_type_symbol
_atom_site_fract_x
_atom_site_fract_y
_atom_site_fract_z
Y1 Y 0.000 0.000 0.000
Hg1 Hg 0.000 0.500 0.500
Pt1 Pt 0.500 0.500 0.500

=====

(7)
# Co2NiW | Alexandria via LeMat-Bulk | meta-GGA SCAN | PBEsol geometry
# - VASP energy: -30.05 eV per atom
# - Energy above the lowest structure with this stoichiometry: 0 meV per atom
# - Magnetic moment: 4.117 μB per cell
data_Co2NiW
_chemical_formula_sum 'Co4 Ni2 W2'
_cell_length_a 3.534
_cell_length_b 3.534
_cell_length_c 7.262
_cell_angle_alpha 90.00
_cell_angle_beta 90.00
_cell_angle_gamma 90.00
_symmetry_space_group_name_H-M 'I -4 m 2'
_symmetry_Int_Tables_number 119
_symmetry_space_group_name_Hall 'I -4 -2'
loop_
_atom_site_label
_atom_site_type_symbol
_atom_site_fract_x
_atom_site_fract_y
_atom_site_fract_z
Co1 Co 0.000 0.000 0.000
Co2 Co 0.000 0.500 0.250
Ni1 Ni 0.000 0.500 0.750
W1 W 0.000 0.000 0.500

=====

(8)
# Zn2Cu3 | Alexandria via LeMat-Bulk | meta-GGA SCAN | PBEsol geometry
# - VASP energy: -14.57 eV per atom
# - Energy above the lowest structure with this stoichiometry: 30 meV per atom
# - Magnetic moment: 0.000 μB per cell
data_Zn2Cu3
_chemical_formula_sum 'Zn6 Cu9'
_cell_length_a 2.6074
_cell_length_b 2.6074
_cell_length_c 30.9275
_cell_angle_alpha 90.00
_cell_angle_beta 90.00
_cell_angle_gamma 120.00
_symmetry_space_group_name_H-M 'R -3 m'
_symmetry_Int_Tables_number 166
_symmetry_space_group_name_Hall '-R 3 2"'
loop_
_atom_site_label
_atom_site_type_symbol
_atom_site_fract_x
_atom_site_fract_y
_atom_site_fract_z
Zn1 Zn 0.0000 0.0000 0.0995
Cu1 Cu 0.0000 0.0000 0.3009
Cu2 Cu 0.0000 0.0000 0.5000

=====

Among the records above, which one has the highest magnetic moment? Co2NiW

=====

Which of these has the highest VASP energy? SrMg16Al12